# Zr2ScRe

Crystalline Zr2ScRe at its relaxed geometry (GGA-PBEsol, Alexandria).

a = 3.357 Å, b = 4.909 Å, c = 5.681 Å
α = 115.60°, β = 107.19°, γ = 90.00°
Element x y z (fractional)
1 Sc 0.500 0.000 0.000
2 Re 0.000 0.500 0.000
3 Zr 0.714 0.714 0.428
4 Zr 0.286 0.286 0.572

VASP energy: -38.55 eV for the cell shown